Ac3MgCd6In2 | PBE | relaxed

Cell lengths 6.4763, 6.4763, 9.7688 Å; angles 90.00, 90.00, 120.00 degrees
With the nearest neighbours (Å) after each atom.
Space group P-3m1 (No. 164)
Asymmetric unit:
1 Ac 0.0000 0.0000 0.0000  6 Cd 3.33
2 Ac 0.3333 0.6667 0.6043  9 Cd 3.45-3.68, 1 In 3.61
3 Mg 0.0000 0.0000 0.5000  6 Cd 2.98
4 Cd 0.1773 0.3547 0.2732  1 Mg 2.98, 2 Cd 3.03, 1 Ac 3.33
5 In 0.3333 0.6667 0.9741  3 Cd 3.41, 4 Ac 3.61-3.75, 3 In 3.77

Values from the calculation:
- formation energy (eV per atom) = -0.1721
- crystal system = trigonal
- Fermi-level density of states (states/eV/atom) = 0.53
- density (g/cm3) = 7.53
- spin magnetization (μB/cell) = 0.00